Version w
# CsIn3Pt PBE-GGA relaxed
# density: 4.4 Mg/m³
# symmetry: Pm-3m, No. 221
# size of the total moment: 0.000 μB/atom
# crystal system: cubic
data_CsIn3Pt
_chemical_formula_sum 'Cs1 In3 Pt1'
_space_group_name_H-M_alt 'P 1'
_space_group_IT_number 1
_cell_length_a 6.311
_cell_length_b 6.311
_cell_length_c 6.311
_cell_angle_alpha 90.00
_cell_angle_beta 90.00
_cell_angle_gamma 90.00
loop_
_space_group_symop_operation_xyz
'x,y,z'
loop_
_atom_site_label
_atom_site_type_symbol
_atom_site_fract_x
_atom_site_fract_y
_atom_site_fract_z
Cs1 Cs 0.000 0.000 0.000
Pt1 Pt 0.500 0.500 0.500
In1 In 0.000 0.500 0.000
In2 In 0.000 0.000 0.500
In3 In 0.500 0.000 0.000

=====

Version x
# CsIn3Pt PBE-GGA relaxed
# density: 6.5 Mg/m³
# symmetry: P2_1/c, No. 14
# size of the total moment: 0.000 μB/atom
# crystal system: monoclinic
data_CsIn3Pt
_chemical_formula_sum 'Cs4 In12 Pt4'
_space_group_name_H-M_alt 'P 1'
_space_group_IT_number 1
_cell_length_a 7.583
_cell_length_b 9.946
_cell_length_c 9.317
_cell_angle_alpha 103.53
_cell_angle_beta 90.00
_cell_angle_gamma 90.00
loop_
_space_group_symop_operation_xyz
'x,y,z'
loop_
_atom_site_label
_atom_site_type_symbol
_atom_site_fract_x
_atom_site_fract_y
_atom_site_fract_z
Cs1 Cs 0.116 0.791 0.371
Cs2 Cs 0.884 0.209 0.629
Cs3 Cs 0.616 0.709 0.629
Cs4 Cs 0.384 0.291 0.371
In1 In 0.882 0.647 0.983
In2 In 0.118 0.353 0.017
In3 In 0.382 0.853 0.017
In4 In 0.618 0.147 0.983
In5 In 0.532 0.608 0.166
In6 In 0.468 0.392 0.834
In7 In 0.032 0.892 0.834
In8 In 0.968 0.108 0.166
In9 In 0.857 0.412 0.304
In10 In 0.143 0.588 0.696
In11 In 0.357 0.088 0.696
In12 In 0.643 0.912 0.304
Pt1 Pt 0.758 0.403 0.021
Pt2 Pt 0.242 0.597 0.979
Pt3 Pt 0.258 0.097 0.979
Pt4 Pt 0.742 0.903 0.021

=====

In terms of stability, version x leads; the second structure lies 1.834 eV/atom higher.